(a)
First-principles (PBE-GGA) data for a geometry-optimized CaMnCl4 structure, as listed in the Alexandria database.

Lattice parameters (Å, degrees): 6.0083 6.0083 6.0083 60.00 60.00 60.00
Atoms (fractional coordinates):
Ca (0.0000, 0.0000, 0.0000)
Mn (0.2500, 0.2500, 0.2500)
Cl (0.1244, 0.6252, 0.6252)
Cl (0.6252, 0.1244, 0.6252)
Cl (0.6252, 0.6252, 0.1244)
Cl (0.6252, 0.6252, 0.6252)

Values from the calculation:
SG: F-43m (216)

---

(b)
First-principles (PBE-GGA) data for a geometry-optimized CaMnCl4 structure, as listed in the Alexandria database.

Lattice parameters (Å, degrees): 7.2629 6.3753 7.2648 90.00 113.59 90.00
Atoms (fractional coordinates):
Ca (0.0000, 0.0000, 0.0000)
Ca (0.0000, 0.5000, 0.5000)
Mn (0.5000, 0.0000, 0.5000)
Mn (0.5000, 0.5000, 0.0000)
Cl (0.1547, 0.1561, 0.3818)
Cl (0.1547, 0.3439, 0.8818)
Cl (0.3753, 0.6879, 0.6605)
Cl (0.3753, 0.8121, 0.1605)
Cl (0.6247, 0.1879, 0.8395)
Cl (0.6247, 0.3121, 0.3395)
Cl (0.8453, 0.6561, 0.1182)
Cl (0.8453, 0.8439, 0.6182)

Values from the calculation:
SG: P2_1/c (14)

---

(c)
First-principles (PBE-GGA) data for a geometry-optimized CaMnCl4 structure, as listed in the Alexandria database.

Lattice parameters (Å, degrees): 6.5636 3.9081 6.7735 90.00 93.19 90.00
Atoms (fractional coordinates):
Ca (0.0000, 0.0000, 0.0000)
Mn (0.0000, 0.5000, 0.5000)
Cl (0.2106, 0.0000, 0.3631)
Cl (0.2174, 0.5000, 0.8240)
Cl (0.7826, 0.5000, 0.1760)
Cl (0.7894, 0.0000, 0.6369)

Values from the calculation:
SG: P2/m (10)

---

(c) (0.8 kJ/mol of atoms below the next structure)

---

(a)
First-principles (PBE-GGA) data for a geometry-optimized CaMnP2Cl structure, as listed in the Alexandria database.

Lattice parameters (Å, degrees): 4.3329 4.3329 5.4325 90.00 90.00 90.00
Atoms (fractional coordinates):
Ca (0.0000, 0.0000, 0.0000)
Mn (0.5000, 0.5000, 0.5000)
P (0.0000, 0.5000, 0.5000)
P (0.5000, 0.0000, 0.5000)
Cl (0.5000, 0.5000, 0.0000)

Values from the calculation:
SG: P4/mmm (123)

---

(b)
First-principles (PBE-GGA) data for a geometry-optimized CaMnP2Cl structure, as listed in the Alexandria database.

Lattice parameters (Å, degrees): 5.2584 5.2584 5.0182 90.00 90.00 90.00
Atoms (fractional coordinates):
Ca (0.0000, 0.0000, 0.0000)
Mn (0.5000, 0.5000, 0.5000)
P (0.0000, 0.5000, 0.0000)
P (0.5000, 0.0000, 0.0000)
Cl (0.0000, 0.0000, 0.5000)

Values from the calculation:
SG: P4/mmm (123)

---

(a) (102.8 kJ/mol of atoms below the next structure)

---

(a)
First-principles (PBE-GGA) data for a geometry-optimized CaMnPCl2 structure, as listed in the Alexandria database.

Lattice parameters (Å, degrees): 5.0750 5.0750 5.9194 90.00 90.00 90.00
Atoms (fractional coordinates):
Ca (0.0000, 0.0000, 0.0000)
Mn (0.5000, 0.5000, 0.5000)
P (0.0000, 0.0000, 0.5000)
Cl (0.0000, 0.5000, 0.0000)
Cl (0.5000, 0.0000, 0.0000)

Values from the calculation:
SG: P4/mmm (123)

---

(b)
First-principles (PBE-GGA) data for a geometry-optimized CaMnPCl2 structure, as listed in the Alexandria database.

Lattice parameters (Å, degrees): 4.8125 4.8125 4.4022 90.00 90.00 90.00
Atoms (fractional coordinates):
Ca (0.0000, 0.0000, 0.0000)
Mn (0.5000, 0.5000, 0.5000)
P (0.5000, 0.5000, 0.0000)
Cl (0.0000, 0.5000, 0.5000)
Cl (0.5000, 0.0000, 0.5000)

Values from the calculation:
SG: P4/mmm (123)

---

(b) (30.9 kJ/mol of atoms below the next structure)

---

(a)
First-principles (PBE-GGA) data for a geometry-optimized Ca3MoCl structure, as listed in the Alexandria database.

Lattice parameters (Å, degrees): 5.3761 5.3761 5.3761 90.00 90.00 90.00
Atoms (fractional coordinates):
Ca (0.0000, 0.0000, 0.5000)
Ca (0.0000, 0.5000, 0.0000)
Ca (0.5000, 0.0000, 0.0000)
Mo (0.5000, 0.5000, 0.5000)
Cl (0.0000, 0.0000, 0.0000)

Values from the calculation:
SG: Pm-3m (221)

---

(b)
First-principles (PBE-GGA) data for a geometry-optimized Ca3MoCl structure, as listed in the Alexandria database.

Lattice parameters (Å, degrees): 5.4834 5.4834 5.4834 90.00 90.00 90.00
Atoms (fractional coordinates):
Ca (0.0000, 0.0000, 0.5000)
Ca (0.0000, 0.5000, 0.0000)
Ca (0.5000, 0.0000, 0.0000)
Mo (0.0000, 0.0000, 0.0000)
Cl (0.5000, 0.5000, 0.5000)

Values from the calculation:
SG: Pm-3m (221)

---

(a) (24.1 kJ/mol of atoms below the next structure)

---

(a)
First-principles (PBE-GGA) data for a geometry-optimized Ca2MoCl structure, as listed in the Alexandria database.

Lattice parameters (Å, degrees): 3.1833 3.1833 11.1270 90.00 90.00 90.00
Atoms (fractional coordinates):
Ca (0.0000, 0.0000, 0.0000)
Ca (0.5000, 0.5000, 0.3072)
Mo (0.5000, 0.5000, 0.8009)
Cl (0.0000, 0.0000, 0.4466)

Values from the calculation:
SG: P4mm (99)

---

(b)
First-principles (PBE-GGA) data for a geometry-optimized Ca2MoCl structure, as listed in the Alexandria database.

Lattice parameters (Å, degrees): 5.3869 5.3869 5.3869 60.00 60.00 60.00
Atoms (fractional coordinates):
Ca (0.2500, 0.2500, 0.2500)
Ca (0.7500, 0.7500, 0.7500)
Mo (0.0000, 0.0000, 0.0000)
Cl (0.5000, 0.5000, 0.5000)

Values from the calculation:
SG: Fm-3m (225)

---

(a) (18.9 kJ/mol of atoms below the next structure)

---

(a)
First-principles (PBE-GGA) data for a geometry-optimized Ca2MoCl structure, as listed in the Alexandria database.

Lattice parameters (Å, degrees): 10.4916 10.4916 10.4916 19.47 19.47 19.47
Atoms (fractional coordinates):
Ca (0.0000, 0.0000, 0.0000)
Ca (0.2258, 0.2258, 0.2258)
Mo (0.7431, 0.7431, 0.7431)
Cl (0.5002, 0.5002, 0.5002)

Values from the calculation:
SG: R3m (160)

---

(b)
First-principles (PBE-GGA) data for a geometry-optimized Ca2MoCl structure, as listed in the Alexandria database.

Lattice parameters (Å, degrees): 3.5981 3.5981 9.0416 98.85 98.85 54.45
Atoms (fractional coordinates):
Ca (0.2353, 0.2353, 0.2435)
Ca (0.7647, 0.7647, 0.7565)
Mo (0.0000, 0.0000, 0.5000)
Cl (0.5000, 0.5000, 0.0000)

Values from the calculation:
SG: C2/m (12)

---

(b) (41.6 kJ/mol of atoms below the next structure)

---

(a)
First-principles (PBE-GGA) data for a geometry-optimized Ca2MoCl structure, as listed in the Alexandria database.

Lattice parameters (Å, degrees): 6.7568 6.7568 6.7568 108.69 108.69 111.04
Atoms (fractional coordinates):
Ca (0.0883, 0.1250, 0.4633)
Ca (0.3750, 0.9117, 0.0367)
Ca (0.6617, 0.6250, 0.5367)
Ca (0.8750, 0.3383, 0.9633)
Mo (0.2500, 0.7500, 0.5000)
Mo (0.5000, 0.5000, 0.0000)
Cl (0.0000, 0.0000, 0.0000)
Cl (0.7500, 0.2500, 0.5000)

Values from the calculation:
SG: I-42d (122)

---

(b)
First-principles (PBE-GGA) data for a geometry-optimized Ca2MoCl structure, as listed in the Alexandria database.

Lattice parameters (Å, degrees): 5.8815 5.8815 5.5179 97.71 97.71 31.24
Atoms (fractional coordinates):
Ca (0.0000, 0.0000, 0.0000)
Ca (0.7355, 0.7355, 0.5324)
Mo (0.2650, 0.2650, 0.0456)
Cl (0.4410, 0.4410, 0.4004)

Values from the calculation:
SG: Cm (8)

---

(c)
First-principles (PBE-GGA) data for a geometry-optimized Ca2MoCl structure, as listed in the Alexandria database.

Lattice parameters (Å, degrees): 4.1824 4.1824 6.3300 90.00 90.00 90.00
Atoms (fractional coordinates):
Ca (0.0000, 0.0000, 0.0000)
Ca (0.5000, 0.5000, 0.4025)
Mo (0.5000, 0.5000, 0.9054)
Cl (0.0000, 0.0000, 0.4553)

Values from the calculation:
SG: P4mm (99)

---

(d)
First-principles (PBE-GGA) data for a geometry-optimized Ca2MoCl structure, as listed in the Alexandria database.

Lattice parameters (Å, degrees): 6.1572 6.1572 6.1572 145.55 113.71 76.89
Atoms (fractional coordinates):
Ca (0.2160, 0.2160, 0.0000)
Ca (0.7840, 0.7840, 0.0000)
Mo (0.5000, 0.0000, 0.5000)
Cl (0.0000, 0.5000, 0.5000)

Values from the calculation:
SG: Immm (71)

---

(b) (8.9 kJ/mol of atoms below the next structure)

---

(a)
First-principles (PBE-GGA) data for a geometry-optimized Ca2MoCl structure, as listed in the Alexandria database.

Lattice parameters (Å, degrees): 6.9936 6.9936 6.9936 144.79 144.79 50.64
Atoms (fractional coordinates):
Ca (0.0000, 0.0000, 0.0000)
Ca (0.7500, 0.2500, 0.5000)
Mo (0.5000, 0.5000, 0.0000)
Cl (0.2500, 0.7500, 0.5000)

Values from the calculation:
SG: I-4m2 (119)

---

(b)
First-principles (PBE-GGA) data for a geometry-optimized Ca2MoCl structure, as listed in the Alexandria database.

Lattice parameters (Å, degrees): 3.2737 3.2737 8.6744 90.00 90.00 99.67
Atoms (fractional coordinates):
Ca (0.0000, 0.0000, 0.2481)
Ca (0.0000, 0.0000, 0.7519)
Mo (0.5000, 0.5000, 0.5000)
Cl (0.5000, 0.5000, 0.0000)

Values from the calculation:
SG: Cmmm (65)

---

(b) (49.7 kJ/mol of atoms below the next structure)